# Sr2LaCd GGA-PBE relaxed
data_Sr2LaCd
_symmetry_space_group_name_H-M 'P m m 2'
_symmetry_Int_Tables_number 25
_cell_length_a 3.9950
_cell_length_b 4.0129
_cell_length_c 10.2385
_cell_angle_alpha 90.00
_cell_angle_beta 90.00
_cell_angle_gamma 90.00
loop_
_symmetry_equiv_pos_as_xyz
'x,y,z'
'-x,-y,z'
'-x,y,z'
'x,-y,z'
loop_
_atom_site_label
_atom_site_fract_x
_atom_site_fract_y
_atom_site_fract_z
_atom_site_occupancy
Sr1 0.0000 0.0000 0.0000 1
Sr2 0.5000 0.5000 0.3275 1
La1 0.5000 0.5000 0.7089 1
Cd1 0.0000 0.0000 0.5317 1
# ΔH_f (0 K) (eV/atom): -0.1190

# Sr2LaCd GGA-PBE relaxed
data_Sr2LaCd
_symmetry_space_group_name_H-M 'C m m m'
_symmetry_Int_Tables_number 65
_symmetry_space_group_name_Hall '-C 2 2'
_cell_length_a 7.5137
_cell_length_b 10.5792
_cell_length_c 3.9254
_cell_angle_alpha 90.00
_cell_angle_beta 90.00
_cell_angle_gamma 90.00
loop_
_atom_site_label
_atom_site_fract_x
_atom_site_fract_y
_atom_site_fract_z
_atom_site_occupancy
Sr1 0.2500 0.2500 0.0000 1
La1 0.0000 0.0000 0.5000 1
Cd1 0.0000 0.5000 0.5000 1
# ΔH_f (0 K) (eV/atom): 0.0353

# Sr2LaCd GGA-PBE relaxed
data_Sr2LaCd
_symmetry_space_group_name_H-M 'R 3 m'
_symmetry_Int_Tables_number 160
_symmetry_space_group_name_Hall 'R 3 -2"'
_cell_length_a 4.0311
_cell_length_b 4.0311
_cell_length_c 34.9662
_cell_angle_alpha 90.00
_cell_angle_beta 90.00
_cell_angle_gamma 120.00
loop_
_atom_site_label
_atom_site_fract_x
_atom_site_fract_y
_atom_site_fract_z
_atom_site_occupancy
Sr1 0.0000 0.0000 0.0000 1
Sr2 0.0000 0.0000 0.1867 1
La1 0.0000 0.0000 0.4274 1
Cd1 0.0000 0.0000 0.5930 1
# ΔH_f (0 K) (eV/atom): 0.0107

| no. | size of the total moment (Bohr magnetons per cell) |
| --- | --- |
| 1 | 0.215 |
| 2 | 0.000 |
| 3 | 0.013 |